Record 1
The following is a PBE calculation of an optimized crystal structure of Zr2ScRu3, from Alexandria via LeMat-Bulk.

**DFT total energy**: -55.247 eV for the cell shown
**Polymorph energy (0 for the lowest one)**: 6 meV per atom

```
Zr2ScRu3
1.0
3.260 0.000 0.000
0.000 3.260 0.000
0.000 0.000 9.748
Ru Sc Zr
3 1 2
Cartesian
0.000 0.000 0.000 Ru
0.000 0.000 6.510 Ru
0.000 0.000 3.238 Ru
1.630 1.630 4.874 Sc
1.630 1.630 8.088 Zr
1.630 1.630 1.661 Zr
```

---

Record 2
The following is a PBE calculation of an optimized crystal structure of Zr2ScRu, from Alexandria via LeMat-Bulk.

**DFT total energy**: -33.284 eV for the cell shown
**Polymorph energy (0 for the lowest one)**: 190 meV per atom

```
Zr2ScRu
1.0
-1.363 -4.488 -0.999
0.722 -3.495 3.204
-3.727 -1.944 2.309
Sc Zr Ru
1 2 1
Cartesian
0.000 0.000 0.000 Sc
-3.276 -7.446 3.385 Zr
-1.092 -2.482 1.128 Zr
-2.184 -4.964 2.257 Ru
```

---

Number 1: D(E_F) 0.73 states/eV per cell. Number 2: D(E_F) 6.58 states/eV per cell.